[1]
Compound: K2Cu2AuI6
Source: Alexandria
Functional: GGA-PBE
Structure: optimized geometry

Calculated values
* magnetization: 0.00 μB/f.u.
* E_form (uncorrected): -0.56 eV per atom

a b c (Å): 15.639 7.823 7.451
angles (deg): 90.00 110.62 90.00
Space group C2/m (No. 12)
One atom of each set of equivalent atoms:
K 0.229 0.000 0.198 [4 per cell]
Cu 0.041 0.500 0.196 [4 per cell]
Au 0.000 0.000 0.500 [2 per cell]
I 0.061 0.247 0.789 [8 per cell]
I 0.213 0.500 0.296 [4 per cell]

[2]
Compound: TaTiBiO6
Source: Alexandria
Functional: GGA-PBE
Structure: optimized geometry

Calculated values
* magnetization: 0.00 μB/f.u.
* E_form (uncorrected): -2.50 eV per atom

a b c (Å): 5.2595 5.2595 9.9989
angles (deg): 90.00 90.00 120.00
Space group P-31c (No. 163)
One atom of each set of equivalent atoms:
Ta 0.3333 0.6667 0.2500 [2 per cell]
Ti 0.3333 0.6667 0.7500 [2 per cell]
Bi 0.0000 0.0000 0.0000 [2 per cell]
O 0.0030 0.3695 0.6416 [12 per cell]

[3]
Compound: Tl2CdCu
Source: Alexandria
Functional: GGA-PBE
Structure: optimized geometry

Calculated values
* magnetization: 0.00 μB/f.u.
* formation energy: 0.26 eV per atom

a b c (Å): 4.455 4.455 9.669
angles (deg): 90.00 90.00 90.00
Space group I-4m2 (No. 119)
One atom of each set of equivalent atoms:
Tl 0.000 0.000 0.000 [2 per cell]
Tl 0.000 0.500 0.250 [2 per cell]
Cd 0.000 0.500 0.750 [2 per cell]
Cu 0.000 0.000 0.500 [2 per cell]

[4]
Compound: AcEr2Pb
Source: Alexandria
Functional: GGA-PBE
Structure: optimized geometry

Calculated values
* magnetization: 0.00 μB/f.u.
* formation energy: -0.02 eV per atom

a b c (Å): 7.897 7.897 7.897
angles (deg): 90.00 90.00 90.00
Space group Fm-3m (No. 225)
One atom of each set of equivalent atoms:
Ac 0.000 0.000 0.000 [4 per cell]
Er 0.250 0.250 0.250 [8 per cell]
Pb 0.000 0.000 0.500 [4 per cell]

[5]
Compound: Fe2CuBr
Source: Alexandria
Functional: GGA-PBE
Structure: optimized geometry

Calculated values
* magnetization: 5.70 μB/f.u.
* E_form (uncorrected): 0.74 eV per atom

a b c (Å): 3.766 3.766 8.191
angles (deg): 90.00 90.00 90.00
Space group I-4m2 (No. 119)
One atom of each set of equivalent atoms:
Fe 0.000 0.000 0.000 [2 per cell]
Fe 0.000 0.500 0.250 [2 per cell]
Cu 0.000 0.000 0.500 [2 per cell]
Br 0.000 0.500 0.750 [2 per cell]

[6]
Compound: ZrTlRe
Source: Alexandria
Functional: GGA-PBE
Structure: optimized geometry

Calculated values
* magnetization: 0.00 μB/f.u.
* formation energy: 0.39 eV per atom

a b c (Å): 3.437 5.070 14.080
angles (deg): 90.00 90.00 90.00
Space group Fmm2 (No. 42)
One atom of each set of equivalent atoms:
Zr 0.000 0.000 0.000 [4 per cell]
Tl 0.000 0.000 0.688 [4 per cell]
Re 0.000 0.000 0.356 [4 per cell]

[7]
Compound: KVNi2Ge
Source: Alexandria
Functional: GGA-PBE
Structure: optimized geometry

Calculated values
* magnetization: 1.65 μB/f.u.
* formation energy: 1.31 eV per atom

a b c (Å): 4.477 4.477 5.322
angles (deg): 90.00 90.00 90.00
Space group P4/mmm (No. 123)
One atom of each set of equivalent atoms:
K 0.000 0.000 0.000 [1 per cell]
V 0.000 0.000 0.500 [1 per cell]
Ni 0.000 0.500 0.500 [2 per cell]
Ge 0.500 0.500 0.000 [1 per cell]

[8]
Compound: TaZnGa
Source: Alexandria
Functional: GGA-PBE
Structure: optimized geometry

Calculated values
* magnetization: 0.00 μB/f.u.
* formation energy: 0.01 eV per atom

a b c (Å): 4.3372 4.3372 2.9045
angles (deg): 90.00 90.00 120.00
Space group P3m1 (No. 156)
One atom of each set of equivalent atoms:
Ta 0.0000 0.0000 0.0000 [1 per cell]
Zn 0.3333 0.6667 0.5010 [1 per cell]
Ga 0.6667 0.3333 0.4991 [1 per cell]

Repeat the fourth record exactly.
Compound: AcEr2Pb
Source: Alexandria
Functional: GGA-PBE
Structure: optimized geometry

Calculated values
* magnetization: 0.00 μB/f.u.
* formation energy: -0.02 eV per atom

a b c (Å): 7.897 7.897 7.897
angles (deg): 90.00 90.00 90.00
Space group Fm-3m (No. 225)
One atom of each set of equivalent atoms:
Ac 0.000 0.000 0.000 [4 per cell]
Er 0.250 0.250 0.250 [8 per cell]
Pb 0.000 0.000 0.500 [4 per cell]

Question: Which formula does entry 8 have?
Answer: TaZnGa

Copy entry 5 word for word.
Compound: Fe2CuBr
Source: Alexandria
Functional: GGA-PBE
Structure: optimized geometry

Calculated values
* magnetization: 5.70 μB/f.u.
* E_form (uncorrected): 0.74 eV per atom

a b c (Å): 3.766 3.766 8.191
angles (deg): 90.00 90.00 90.00
Space group I-4m2 (No. 119)
One atom of each set of equivalent atoms:
Fe 0.000 0.000 0.000 [2 per cell]
Fe 0.000 0.500 0.250 [2 per cell]
Cu 0.000 0.000 0.500 [2 per cell]
Br 0.000 0.500 0.750 [2 per cell]

Question: What is the formula in the fourth record?
Answer: AcEr2Pb